No. 1
Here is TiZn2Ga after structural relaxation from Alexandria via LeMat-Bulk. Energies are from GGA-PBE.

Summary:
Energy of formation ... 7.5 kJ per mole of atoms
ρ ... 6.1 Mg/m³
Calculated volume ... 68.1 Å³/f.u.
E ... -3.29 eV per atom

Lattice parameters (Å, degrees): 7.1518 7.1518 5.3221 90.00 90.00 90.00
Space group I-42d (No. 122)
Unique sites:
Ti1 0.0000 0.0000 0.0000 (multiplicity 4)
Zn1 0.2307 0.7500 0.6250 (multiplicity 8)
Ga1 0.0000 0.0000 0.5000 (multiplicity 4)

No. 2
Here is AcPm6Sc after structural relaxation from Alexandria via LeMat-Bulk. Energies are from GGA-PBE.

Summary:
Energy of formation ... 4.7 kJ per mole of atoms
ρ ... 6.9 Mg/m³
Calculated volume ... 274.1 Å³/f.u.
E ... -4.82 eV per atom

Lattice parameters (Å, degrees): 5.1652 5.1652 10.2737 90.00 90.00 90.00
Space group P4/mmm (No. 123)
Unique sites:
Ac1 0.0000 0.0000 0.0000 (multiplicity 1)
Pm1 0.0000 0.5000 0.2632 (multiplicity 4)
Pm2 0.5000 0.5000 0.0000 (multiplicity 1)
Pm3 0.5000 0.5000 0.5000 (multiplicity 1)
Sc1 0.0000 0.0000 0.5000 (multiplicity 1)

No. 3
Here is Mn2VRu3 after structural relaxation from Alexandria via LeMat-Bulk. Energies are from GGA-PBE.

Summary:
Energy of formation ... -9.5 kJ per mole of atoms
ρ ... 9.4 Mg/m³
Calculated volume ... 81.7 Å³/f.u.
E ... -9.31 eV per atom

Lattice parameters (Å, degrees): 3.0224 3.0224 8.9443 90.00 90.00 90.00
Space group P4/mmm (No. 123)
Unique sites:
Mn1 0.0000 0.0000 0.1639 (multiplicity 2)
V1 0.0000 0.0000 0.5000 (multiplicity 1)
Ru1 0.5000 0.5000 0.0000 (multiplicity 1)
Ru2 0.5000 0.5000 0.3378 (multiplicity 2)

No. 4
Here is Li2Mg3Zn after structural relaxation from Alexandria via LeMat-Bulk. Energies are from GGA-PBE.

Summary:
Energy of formation ... -8.3 kJ per mole of atoms
ρ ... 2.2 Mg/m³
Calculated volume ... 113.6 Å³/f.u.
E ... -1.73 eV per atom

Lattice parameters (Å, degrees): 4.7515 14.3785 3.3241 90.00 90.00 90.00
Space group Pmmn (No. 59, origin choice 2)
Unique sites:
Li1 0.2500 0.0819 0.0006 (multiplicity 4)
Mg1 0.2500 0.2500 0.5008 (multiplicity 2)
Mg2 0.2500 0.5873 0.4995 (multiplicity 4)
Zn1 0.2500 0.7500 0.9992 (multiplicity 2)

No. 5
Here is UAgRu2 after structural relaxation from Alexandria via LeMat-Bulk. Energies are from GGA-PBE.

Summary:
Energy of formation ... -8.9 kJ per mole of atoms
ρ ... 13.5 Mg/m³
Calculated volume ... 67.4 Å³/f.u.
E ... -8.26 eV per atom

Lattice parameters (Å, degrees): 4.2686 4.2686 3.6974 90.00 90.00 90.00
Space group P4/mmm (No. 123)
Unique sites:
U1 0.0000 0.0000 0.0000 (multiplicity 1)
Ag1 0.5000 0.5000 0.0000 (multiplicity 1)
Ru1 0.0000 0.5000 0.5000 (multiplicity 2)

No. 6
Here is VFeSiTc after structural relaxation from Alexandria via LeMat-Bulk. Energies are from GGA-PBE.

Summary:
ρ ... 7.9 Mg/m³
Calculated volume ... 49.2 Å³/f.u.
ΔE_f (raw) ... -501 meV/atom
E ... -8.84 eV per atom

Lattice parameters (Å, degrees): 5.8161 5.8161 5.8161 90.00 90.00 90.00
Space group F-43m (No. 216)
Unique sites:
V1 0.0000 0.0000 0.0000 (multiplicity 4)
Fe1 0.2500 0.2500 0.7500 (multiplicity 4)
Si1 0.0000 0.0000 0.5000 (multiplicity 4)
Tc1 0.2500 0.2500 0.2500 (multiplicity 4)

No. 7
Here is YZr2Tc after structural relaxation from Alexandria via LeMat-Bulk. Energies are from GGA-PBE.

Summary:
Energy of formation ... 10.0 kJ per mole of atoms
ρ ... 7.3 Mg/m³
Calculated volume ... 84.4 Å³/f.u.
E ... -8.38 eV per atom

Lattice parameters (Å, degrees): 6.9628 6.9628 6.9628 90.00 90.00 90.00
Space group Fm-3m (No. 225)
Unique sites:
Y1 0.0000 0.0000 0.0000 (multiplicity 4)
Zr1 0.2500 0.2500 0.2500 (multiplicity 8)
Tc1 0.0000 0.0000 0.5000 (multiplicity 4)

No. 8
Here is CsZn2HgBr8 after structural relaxation from Alexandria via LeMat-Bulk. Energies are from GGA-PBE.

Summary:
ρ ... 4.5 Mg/m³
Calculated volume ... 410.6 Å³/f.u.
ΔE_f (raw) ... -775 meV/atom
E ... -2.20 eV per atom

Lattice parameters (Å, degrees): 6.7893 6.7893 30.8573 90.00 90.00 120.00
Space group R-3 (No. 148, hexagonal axes)
Unique sites:
Cs1 0.0000 0.0000 0.0000 (multiplicity 3)
Zn1 0.0000 0.0000 0.2449 (multiplicity 6)
Hg1 0.0000 0.0000 0.5000 (multiplicity 3)
Br1 0.0000 0.0000 0.3234 (multiplicity 6)
Br2 0.0055 0.3229 0.1115 (multiplicity 18)

No. 9
Here is AlPbS3 after structural relaxation from Alexandria via LeMat-Bulk. Energies are from GGA-PBE.

Summary:
ρ ... 3.9 Mg/m³
Calculated volume ... 139.4 Å³/f.u.
ΔE_f (raw) ... 573 meV/atom
E ... -3.39 eV per atom

Lattice parameters (Å, degrees): 5.1846 5.1846 5.1846 90.00 90.00 90.00
Space group Pm-3m (No. 221)
Unique sites:
Al1 0.0000 0.0000 0.0000 (multiplicity 1)
Pb1 0.5000 0.5000 0.5000 (multiplicity 1)
S1 0.0000 0.5000 0.5000 (multiplicity 3)

No. 10
Here is Rb5Hg12I3 after structural relaxation from Alexandria via LeMat-Bulk. Energies are from GGA-PBE.

Summary:
ρ ... 5.0 Mg/m³
Calculated volume ... 1078.2 Å³/f.u.
ΔE_f (raw) ... -268 meV/atom
E ... -0.92 eV per atom

Lattice parameters (Å, degrees): 20.5084 20.5084 20.5084 90.00 90.00 90.00
Space group Ia-3d (No. 230)
Unique sites:
Rb1 0.0000 0.0000 0.0000 (multiplicity 16)
Rb2 0.0000 0.2500 0.3750 (multiplicity 24)
Hg1 0.0041 0.0871 0.6531 (multiplicity 96)
I1 0.0000 0.2500 0.1250 (multiplicity 24)

No. 11
Here is SnPdPb3 after structural relaxation from Alexandria via LeMat-Bulk. Energies are from GGA-PBE.

Summary:
Energy of formation ... 10.8 kJ per mole of atoms
ρ ... 9.0 Mg/m³
Calculated volume ... 155.9 Å³/f.u.
E ... -3.95 eV per atom

Lattice parameters (Å, degrees): 5.3821 5.3821 5.3821 90.00 90.00 90.00
Space group Pm-3m (No. 221)
Unique sites:
Sn1 0.0000 0.0000 0.0000 (multiplicity 1)
Pd1 0.5000 0.5000 0.5000 (multiplicity 1)
Pb1 0.0000 0.5000 0.5000 (multiplicity 3)

No. 12
Here is Cu3Pt3Rh2 after structural relaxation from Alexandria via LeMat-Bulk. Energies are from GGA-PBE.

Summary:
Energy of formation ... -5.5 kJ per mole of atoms
ρ ... 14.5 Mg/m³
Calculated volume ... 112.6 Å³/f.u.
E ... -5.70 eV per atom

Lattice parameters (Å, degrees): 3.7531 3.8496 15.5912 90.00 90.00 90.00
Space group Immm (No. 71)
Unique sites:
Cu1 0.0000 0.0000 0.0000 (multiplicity 2)
Cu2 0.0000 0.5000 0.1234 (multiplicity 4)
Pt1 0.0000 0.0000 0.5000 (multiplicity 2)
Pt2 0.0000 0.5000 0.3754 (multiplicity 4)
Rh1 0.0000 0.0000 0.2501 (multiplicity 4)

No. 13
Here is Cs3TbNb2O8 after structural relaxation from Alexandria via LeMat-Bulk. Energies are from GGA-PBE.

Summary:
ρ ... 4.8 Mg/m³
Calculated volume ... 300.8 Å³/f.u.
ΔE_f (raw) ... -2570 meV/atom
E ... -7.36 eV per atom

Lattice parameters (Å, degrees): 6.3909 6.3909 8.5030 90.00 90.00 120.00
Space group P-3m1 (No. 164)
Unique sites:
Cs1 0.0000 0.0000 0.0000 (multiplicity 1)
Cs2 0.3333 0.6667 0.7201 (multiplicity 2)
Tb1 0.0000 0.0000 0.5000 (multiplicity 1)
Nb1 0.3333 0.6667 0.2726 (multiplicity 2)
O1 0.1703 0.3407 0.3434 (multiplicity 6)
O2 0.3333 0.6667 0.0579 (multiplicity 2)

No. 14
Here is La2Y after structural relaxation from Alexandria via LeMat-Bulk. Energies are from GGA-PBE.

Summary:
Energy of formation ... 7.3 kJ per mole of atoms
ρ ... 5.7 Mg/m³
Calculated volume ... 107.2 Å³/f.u.
E ... -5.36 eV per atom

Lattice parameters (Å, degrees): 5.8567 5.8567 7.2157 90.00 90.00 120.00
Space group P6_3/mmc (No. 194)
Unique sites:
La1 0.0000 0.0000 0.0000 (multiplicity 2)
La2 0.3333 0.6667 0.2500 (multiplicity 2)
Y1 0.3333 0.6667 0.7500 (multiplicity 2)

No. 15
Here is Tb2Ge4RuPt3 after structural relaxation from Alexandria via LeMat-Bulk. Energies are from GGA-PBE.

Summary:
Energy of formation ... -83.0 kJ per mole of atoms
ρ ... 11.6 Mg/m³
Calculated volume ... 185.4 Å³/f.u.
E ... -6.37 eV per atom

Lattice parameters (Å, degrees): 4.2045 4.2045 10.4872 90.00 90.00 90.00
Space group P-4m2 (No. 115)
Unique sites:
Tb1 0.0000 0.5000 0.2487 (multiplicity 2)
Ge1 0.0000 0.0000 0.5000 (multiplicity 1)
Ge2 0.0000 0.5000 0.8704 (multiplicity 2)
Ge3 0.5000 0.5000 0.5000 (multiplicity 1)
Ru1 0.5000 0.5000 0.0000 (multiplicity 1)
Pt1 0.0000 0.0000 0.0000 (multiplicity 1)
Pt2 0.0000 0.5000 0.6373 (multiplicity 2)

No. 16
Here is Cr3SeS after structural relaxation from Alexandria via LeMat-Bulk. Energies are from GGA-PBE.

Summary:
ρ ... 5.9 Mg/m³
Calculated volume ... 75.7 Å³/f.u.
ΔE_f (raw) ... 495 meV/atom
E ... -6.80 eV per atom

Lattice parameters (Å, degrees): 4.2301 4.2301 4.2301 90.00 90.00 90.00
Space group Pm-3m (No. 221)
Unique sites:
Cr1 0.0000 0.0000 0.5000 (multiplicity 3)
Se1 0.5000 0.5000 0.5000 (multiplicity 1)
S1 0.0000 0.0000 0.0000 (multiplicity 1)

No. 17
Here is Sr6Bi2TeI3 after structural relaxation from Alexandria via LeMat-Bulk. Energies are from GGA-PBE.

Summary:
ρ ... 5.0 Mg/m³
Calculated volume ... 483.7 Å³/f.u.
ΔE_f (raw) ... -1297 meV/atom
E ... -3.43 eV per atom

Lattice parameters (Å, degrees): 21.0384 4.8880 9.6245 90.00 102.18 90.00
Space group C2/m (No. 12)
Unique sites:
Sr1 0.0075 0.0000 0.2373 (multiplicity 4)
Sr2 0.1616 0.5000 0.0978 (multiplicity 4)
Sr3 0.1733 0.5000 0.5630 (multiplicity 4)
Bi1 0.1660 0.0000 0.3277 (multiplicity 4)
Te1 0.0000 0.5000 0.0000 (multiplicity 2)
I1 0.0000 0.5000 0.5000 (multiplicity 2)
I2 0.1631 0.0000 0.8310 (multiplicity 4)

No. 18
Here is NaTl after structural relaxation from Alexandria via LeMat-Bulk. Energies are from GGA-PBE.

Summary:
Energy of formation ... -8.1 kJ per mole of atoms
ρ ... 6.2 Mg/m³
Calculated volume ... 60.6 Å³/f.u.
E ... -1.93 eV per atom

Lattice parameters (Å, degrees): 13.1013 14.0423 7.9091 90.00 90.00 90.00
Space group Cmce (No. 64)
Unique sites:
Na1 0.0000 0.2097 0.0572 (multiplicity 8)
Na2 0.1536 0.0000 0.0000 (multiplicity 8)
Na3 0.2500 0.1869 0.7500 (multiplicity 8)
Tl1 0.0000 0.0719 0.7033 (multiplicity 8)
Tl2 0.1412 0.1122 0.3767 (multiplicity 16)

No. 19
Here is Ac3Cu2Hg after structural relaxation from Alexandria via LeMat-Bulk. Energies are from GGA-PBE.

Summary:
Energy of formation ... -20.6 kJ per mole of atoms
ρ ... 9.5 Mg/m³
Calculated volume ... 176.6 Å³/f.u.
E ... -3.68 eV per atom

Lattice parameters (Å, degrees): 3.8791 3.8791 11.7374 90.00 90.00 90.00
Space group P4/mmm (No. 123)
Unique sites:
Ac1 0.0000 0.0000 0.0000 (multiplicity 1)
Ac2 0.0000 0.0000 0.3184 (multiplicity 2)
Cu1 0.5000 0.5000 0.1594 (multiplicity 2)
Hg1 0.5000 0.5000 0.5000 (multiplicity 1)

No. 20
Here is TiSbHPd2 after structural relaxation from Alexandria via LeMat-Bulk. Energies are from GGA-PBE.

Summary:
ρ ... 9.0 Mg/m³
Calculated volume ... 70.5 Å³/f.u.
E ... -5.58 eV per atom

Lattice parameters (Å, degrees): 4.0080 4.0080 4.3911 90.00 90.00 90.00
Space group P4/mmm (No. 123)
Unique sites:
Ti1 0.0000 0.0000 0.0000 (multiplicity 1)
Sb1 0.5000 0.5000 0.0000 (multiplicity 1)
H1 0.0000 0.0000 0.5000 (multiplicity 1)
Pd1 0.0000 0.5000 0.5000 (multiplicity 2)